#w
Computed, not measured: crystalline SrIrSe2 at its relaxed geometry at the PBE-GGA level of DFT.

a b c (Å): 4.174 4.174 6.449
angles (deg): 71.10 71.10 59.93
Atoms (fractional coordinates):
Se1 0.975 0.975 0.074
Se2 0.525 0.525 0.426
Sr1 0.750 0.750 0.750
Ir1 0.250 0.250 0.250

Output
- density (g/cm³) = 8.1
- crystal system = trigonal
- density of states at the Fermi level (states/eV/atom) = 0.77
- M_tot (μB/f.u.) = 0.0

***

#x
Computed, not measured: crystalline SrIrSe2 at its relaxed geometry at the PBE-GGA level of DFT.

a b c (Å): 5.476 5.476 5.476
angles (deg): 138.87 114.71 80.15
Atoms (fractional coordinates):
Se1 0.434 0.434 0.000
Ir1 0.250 0.750 0.500
Sr1 0.750 0.250 0.500
Se2 0.066 0.066 0.000

Output
- density (g/cm³) = 7.6
- crystal system = orthorhombic
- density of states at the Fermi level (states/eV/atom) = 0.70
- M_tot (μB/f.u.) = 0.0

***

Q: Which of them is the most stable? A: #x.

***

#w
Computed, not measured: crystalline SrIrSe2 at its relaxed geometry at the PBE-GGA level of DFT.

a b c (Å): 8.719 8.719 8.719
angles (deg): 25.94 25.94 25.94
Site moments in Bohr magnetons follow the coordinates.
Atoms (fractional coordinates):
Se1 0.880 0.880 0.880  0.01
Sr1 0.000 0.000 0.000  0.10
Ir1 0.500 0.500 0.500  0.02
Se2 0.120 0.120 0.120  0.01

Output
- density (g/cm³) = 6.5
- crystal system = trigonal
- density of states at the Fermi level (states/eV/atom) = 0.39
- M_tot (μB/f.u.) = 0.4

***

#x
Computed, not measured: crystalline SrIrSe2 at its relaxed geometry at the PBE-GGA level of DFT.

a b c (Å): 4.613 5.750 4.344
angles (deg): 67.81 90.00 90.00
Atoms (fractional coordinates):
Ir1 0.500 0.002 0.812
Se1 0.000 0.848 0.889
Sr1 0.000 0.438 0.594
Se2 0.500 0.213 0.206

Output
- density (g/cm³) = 6.8
- crystal system = orthorhombic
- density of states at the Fermi level (states/eV/atom) = 0.79
- M_tot (μB/f.u.) = 0.0

***

Q: Which of them is the most stable? A: #x.

***

#w
Computed, not measured: crystalline SrIrSe2 at its relaxed geometry at the PBE-GGA level of DFT.

a b c (Å): 4.916 4.916 4.916
angles (deg): 60.00 60.00 60.00
Site moments in Bohr magnetons follow the coordinates.
Atoms (fractional coordinates):
Se1 0.750 0.750 0.750  0.05
Sr1 0.000 0.000 0.000  0.02
Se2 0.250 0.250 0.250  0.05
Ir1 0.500 0.500 0.500  0.39

Output
- density (g/cm³) = 8.7
- crystal system = cubic
- density of states at the Fermi level (states/eV/atom) = 1.13
- M_tot (μB/f.u.) = 0.6

***

#x
Computed, not measured: crystalline SrIrSe2 at its relaxed geometry at the PBE-GGA level of DFT.

a b c (Å): 6.932 6.932 6.932
angles (deg): 149.63 147.09 45.38
Atoms (fractional coordinates):
Ir1 0.205 0.705 0.500
Se1 0.070 0.070 0.000
Se2 0.771 0.271 0.500
Sr1 0.455 0.455 0.000

Output
- density (g/cm³) = 8.0
- crystal system = orthorhombic
- density of states at the Fermi level (states/eV/atom) = 1.02
- M_tot (μB/f.u.) = 0.0

***

Q: Which of them is the most stable? A: #x.